First-principles (PBE-GGA) data for Sr2NdO4 after structural relaxation, as listed in OQMD.

Cell lengths 7.1733, 7.1733, 7.1733 Å; angles 60.00, 60.00, 60.00 degrees
Closest atoms and distances in Å follow each position.
Fractional positions:
Sr: 0.0000 0.0000 0.0000  6 O 2.50
Sr: 0.0000 0.0000 0.5000  6 O 2.50
Sr: 0.0000 0.5000 0.0000  6 O 2.50
Sr: 0.5000 0.0000 0.0000  6 O 2.50
Nd: 0.3750 0.3750 0.3750  4 O 2.25
Nd: 0.6250 0.6250 0.6250  4 O 2.25
O: 0.2400 0.7533 0.7533  1 Nd 2.25, 3 Sr 2.50
O: 0.2467 0.2467 0.2467  1 Nd 2.25, 3 Sr 2.50
O: 0.2467 0.2467 0.7600  1 Nd 2.25, 3 Sr 2.50
O: 0.2467 0.7600 0.2467  1 Nd 2.25, 3 Sr 2.50
O: 0.7533 0.2400 0.7533  1 Nd 2.25, 3 Sr 2.50
O: 0.7533 0.7533 0.2400  1 Nd 2.25, 3 Sr 2.50
O: 0.7533 0.7533 0.7533  1 Nd 2.25, 3 Sr 2.50
O: 0.7600 0.2467 0.2467  1 Nd 2.25, 3 Sr 2.50

Output
Final energy   -6.59 eV per atom
Density   4.88 g/cm³
Space group   Fd-3m